No. 1
Crystalline ZnCrIr4 at its relaxed geometry, computed with PBE. Values from VASP.

Calculated values
Calculated total energy   -7.373 eV per atom
Calculated density   15.17 g/cm³

Quantum ESPRESSO input file:
```
&SYSTEM
  ibrav = 0, nat = 6, ntyp = 3
/
ATOMIC_SPECIES
Ir 192.22 Ir.upf
Zn 65.41 Zn.upf
Cr 52.00 Cr.upf
CELL_PARAMETERS angstrom
4.220 0.767 2.865
1.195 4.752 1.610
-0.458 1.225 4.990
ATOMIC_POSITIONS angstrom
Ir 2.456 4.905 4.354
Zn 3.718 5.058 7.098
Ir 1.630 3.142 6.044
Ir 1.859 2.529 3.550
Ir 3.968 2.913 4.982
Cr 0.000 0.000 0.000
```



No. 2
Crystalline ZnCrIr at its relaxed geometry, computed with PBE. Values from VASP.

Calculated values
Energy above the most stable polymorph in this dataset   55.6 meV per atom
Calculated density   12.58 g/cm³

Quantum ESPRESSO input file:
```
&SYSTEM
  ibrav = 0, nat = 3, ntyp = 3
/
ATOMIC_SPECIES
Cr 52.00 Cr.upf
Zn 65.41 Zn.upf
Ir 192.22 Ir.upf
CELL_PARAMETERS angstrom
2.692 0.000 0.000
-1.346 2.331 0.000
0.000 0.000 6.516
ATOMIC_POSITIONS angstrom
Cr 0.000 0.000 0.058
Zn 0.000 1.554 4.394
Ir 1.346 0.777 2.065
```



No. 3
Crystalline ZnCr2Ir at its relaxed geometry, computed with PBE. Values from VASP.

Calculated values
Calculated total energy   -7.071 eV per atom
Calculated density   11.27 g/cm³

Quantum ESPRESSO input file:
```
&SYSTEM
  ibrav = 0, nat = 4, ntyp = 3
/
ATOMIC_SPECIES
Zn 65.41 Zn.upf
Cr 52.00 Cr.upf
Ir 192.22 Ir.upf
CELL_PARAMETERS angstrom
-2.539 0.416 -0.178
0.638 -1.443 2.039
0.839 7.187 4.823
ATOMIC_POSITIONS angstrom
Zn -0.321 4.876 4.548
Cr 0.002 0.016 0.011
Ir -0.740 1.283 2.136
Cr 0.418 3.578 2.401
```



| no. | magnetization (μB/cell) |
| --- | --- |
| 1 | 2.9 |
| 2 | 0.0 |
| 3 | 0.0 |